No. 1
A geometry-optimized Ce2GdPb structure, computed with PBE.

## Properties
Energy of formation (meV per atom): 167
SG: R-3m (166)
E (eV for the cell shown): -29.0
Polymorph energy (0 for the lowest one) (meV/atom): 435.9

Cell lengths 12.477, 12.477, 12.477 Å; angles 15.91, 15.91, 15.91 degrees
Atoms (fractional coordinates):
1 Ce 0.089 0.089 0.089
2 Ce 0.911 0.911 0.911
3 Gd 0.500 0.500 0.500
4 Pb 0.000 0.000 0.000



No. 2
A geometry-optimized Al2TcPt structure, computed with PBE.

## Properties
Energy of formation (meV per atom): -776
SG: P4/mmm (123)
E (eV for the cell shown): -27.0

Cell lengths 4.214, 4.214, 3.210 Å; angles 90.00, 90.00, 90.00 degrees
Atoms (fractional coordinates):
1 Al 0.000 0.500 0.000
2 Al 0.500 0.000 0.000
3 Tc 0.000 0.000 0.500
4 Pt 0.500 0.500 0.500



No. 3
A geometry-optimized SrLiGdHg structure, computed with PBE.

## Properties
Energy of formation (meV per atom): -184
SG: F-43m (216)
E (eV for the cell shown): -18.7

Cell lengths 5.480, 5.480, 5.480 Å; angles 60.00, 60.00, 60.00 degrees
Atoms (fractional coordinates):
1 Sr 0.000 0.000 0.000
2 Li 0.750 0.750 0.750
3 Gd 0.500 0.500 0.500
4 Hg 0.250 0.250 0.250



No. 4
A geometry-optimized AlAsPt2I structure, computed with PBE.

## Properties
SG: P4/mmm (123)
ΔE_f (raw) (eV per atom): 0.614
E (eV for the cell shown): -19.0

Cell lengths 4.711, 4.711, 5.091 Å; angles 90.00, 90.00, 90.00 degrees
Atoms (fractional coordinates):
1 Al 0.000 0.000 0.000
2 As 0.000 0.000 0.500
3 Pt 0.000 0.500 0.000
4 Pt 0.500 0.000 0.000
5 I 0.500 0.500 0.500



No. 5
A geometry-optimized Ce2Ga2Co5 structure, computed with PBE.

## Properties
Energy of formation (meV per atom): -192
SG: C2/m (12)
E (eV for the cell shown): -55.2

Cell lengths 5.843, 5.843, 6.884 Å; angles 119.76, 119.76, 45.29 degrees
Atoms (fractional coordinates):
1 Ce 0.159 0.159 0.288
2 Ce 0.841 0.841 0.712
3 Ga 0.343 0.343 0.073
4 Ga 0.657 0.657 0.927
5 Co 0.115 0.115 0.676
6 Co 0.400 0.400 0.773
7 Co 0.500 0.500 0.500
8 Co 0.600 0.600 0.227
9 Co 0.885 0.885 0.324



No. 6
A geometry-optimized CrAs2Pd structure, computed with PBE.

## Properties
Energy of formation (meV per atom): 275
SG: R-3m (166)
E (eV for the cell shown): -23.0

Cell lengths 9.027, 9.027, 9.027 Å; angles 19.55, 19.55, 19.55 degrees
Atoms (fractional coordinates):
1 Cr 0.000 0.000 0.000
2 As 0.093 0.093 0.093
3 As 0.907 0.907 0.907
4 Pd 0.500 0.500 0.500